# 1
A geometry-optimized Tl2Sn3Pb3 structure. Source: Alexandria, functional PBE.

Results
The calculated density is 9.27 g/cm3. The spin magnetization is 0.000 μB per formula unit. Its space-group type is P-62m (189). The formation energy is 0.0787 eV per atom.

```
Tl2Sn3Pb3
1.0
9.006 0.000 0.000
-4.503 7.800 0.000
0.000 0.000 3.537
Tl Sn Pb
2 3 3
Cartesian
0.000 5.200 0.000 Tl
4.503 2.600 0.000 Tl
-3.570 6.183 0.000 Sn
0.934 1.617 0.000 Sn
7.139 0.000 0.000 Sn
-1.650 2.858 1.769 Pb
3.300 0.000 1.769 Pb
2.853 4.941 1.769 Pb
```

# 2
A geometry-optimized Tl6Sn2Pb structure. Source: Alexandria, functional PBE.

Results
The calculated density is 9.94 g/cm3. As for the energy above the most stable polymorph in this dataset: 5 meV/atom. The spin magnetization is 0.000 μB per formula unit. Its space-group type is P-6m2 (187). The formation energy is 0.0349 eV per atom.

```
Tl6Sn2Pb
1.0
3.630 0.000 0.000
-1.815 3.144 0.000
0.000 0.000 24.456
Tl Sn Pb
6 2 1
Cartesian
0.000 0.000 1.633 Tl
0.000 0.000 6.740 Tl
0.000 0.000 17.715 Tl
0.000 0.000 22.822 Tl
0.000 2.096 9.517 Tl
0.000 2.096 14.939 Tl
0.000 2.096 4.190 Sn
0.000 2.096 20.266 Sn
0.000 0.000 12.228 Pb
```

# 3
A geometry-optimized TlSn4Pb4 structure. Source: Alexandria, functional PBE.

Results
The calculated density is 8.31 g/cm3. As for the energy above the most stable polymorph in this dataset: 113 meV/atom. The spin magnetization is 0.000 μB per formula unit. Its space-group type is P4_2/nmc (137). The formation energy is 0.1464 eV per atom.

```
TlSn4Pb4
1.0
8.730 0.000 0.000
0.000 8.730 0.000
0.000 0.000 7.903
Tl Sn Pb
2 8 8
Cartesian
2.183 6.548 1.976 Tl
6.548 2.183 5.927 Tl
0.208 2.183 7.902 Sn
2.183 0.208 3.951 Sn
2.183 4.157 3.951 Sn
4.157 2.183 7.902 Sn
4.574 6.548 0.001 Sn
6.548 4.574 3.952 Sn
6.548 8.522 3.952 Sn
8.522 6.548 0.001 Sn
0.100 6.548 4.835 Pb
2.183 4.465 7.019 Pb
2.183 8.631 7.019 Pb
4.266 6.548 4.835 Pb
4.465 2.183 3.068 Pb
6.548 0.100 0.884 Pb
6.548 4.266 0.884 Pb
8.631 2.183 3.068 Pb
```

# 4
A geometry-optimized Tl9SnPb2 structure. Source: Alexandria, functional PBE.

Results
The calculated density is 10.77 g/cm3. The spin magnetization is 0.000 μB per formula unit. Its space-group type is P4/mmm (123). The formation energy is 0.0186 eV per atom.

```
Tl9SnPb2
1.0
4.941 0.000 0.000
0.000 4.941 0.000
0.000 0.000 14.988
Tl Sn Pb
9 1 2
Cartesian
0.000 0.000 0.000 Tl
0.000 0.000 4.972 Tl
0.000 0.000 10.015 Tl
0.000 2.470 2.434 Tl
0.000 2.470 7.494 Tl
0.000 2.470 12.554 Tl
2.470 0.000 2.434 Tl
2.470 0.000 7.494 Tl
2.470 0.000 12.554 Tl
2.470 2.470 0.000 Sn
2.470 2.470 4.972 Pb
2.470 2.470 10.015 Pb
```

# 5
A geometry-optimized TlSn3Pb3 structure. Source: Alexandria, functional PBE.

Results
The calculated density is 8.91 g/cm3. As for the energy above the most stable polymorph in this dataset: 10 meV/atom. The spin magnetization is 0.000 μB per formula unit. Its space-group type is P-1 (2). The formation energy is 0.0652 eV per atom.

```
TlSn3Pb3
1.0
8.213 0.000 0.000
4.101 7.127 0.000
4.093 2.357 7.526
Tl Sn Pb
2 6 6
Cartesian
2.047 1.179 0.246 Tl
14.360 8.306 7.280 Tl
5.422 5.276 1.359 Sn
8.403 6.154 6.173 Sn
5.033 2.063 1.352 Sn
11.374 7.421 6.174 Sn
8.004 3.330 1.352 Sn
10.985 4.209 6.167 Sn
5.471 5.482 4.727 Pb
4.823 1.999 4.724 Pb
8.256 6.304 2.802 Pb
8.151 3.181 4.724 Pb
11.584 7.485 2.801 Pb
10.936 4.002 2.799 Pb
```

# 6
A geometry-optimized TlSn3Pb3 structure. Source: Alexandria, functional PBE.

Results
The calculated density is 9.35 g/cm3. As for the energy above the most stable polymorph in this dataset: 0 meV/atom. The spin magnetization is 0.000 μB per formula unit. Its space-group type is P6_3/m (176). The formation energy is 0.0547 eV per atom.

```
TlSn3Pb3
1.0
9.047 0.000 0.000
-4.524 7.835 0.000
0.000 0.000 5.924
Tl Sn Pb
2 6 6
Cartesian
0.000 5.223 1.481 Tl
4.524 2.612 4.443 Tl
-3.359 6.387 1.481 Sn
0.672 1.732 1.481 Sn
1.836 0.284 4.443 Sn
2.687 7.551 1.481 Sn
3.852 6.103 4.443 Sn
7.883 1.448 4.443 Sn
-2.004 4.832 4.443 Pb
1.341 3.683 4.443 Pb
3.860 0.680 1.481 Pb
0.663 7.155 4.443 Pb
3.183 4.152 1.481 Pb
6.528 3.003 1.481 Pb
```